# 1
This record from Alexandria via LeMat-Bulk describes KP3Se3 after structural relaxation. The functional is PBE-GGA.

Unit cell a=9.345 b=9.340 c=4.522 alpha=90.00 beta=90.00 gamma=119.97
Positions (direct):
P 0.195 0.194 0.250
P 0.805 0.000 0.250
P 0.000 0.804 0.250
P 0.805 0.806 0.750
P 0.195 0.000 0.750
P 0.000 0.196 0.750
K 0.333 0.666 0.250
K 0.667 0.334 0.750
Se 0.934 0.295 0.250
Se 0.705 0.639 0.250
Se 0.361 0.066 0.250
Se 0.066 0.705 0.750
Se 0.295 0.361 0.750
Se 0.639 0.934 0.750

E: -3.86 eV/atom
Formation energy (no corrections): 111 meV per atom
Mass density: 3.6 g/cm3
Spin magnetization: 0.0 μB/f.u.


# 2
This record from Alexandria via LeMat-Bulk describes LiGd2Sb after structural relaxation. The functional is PBE-GGA.

Unit cell a=3.432 b=3.432 c=11.755 alpha=81.60 beta=81.60 gamma=60.00
Positions (direct):
Sb 0.000 0.000 0.000
Gd 0.088 0.088 0.735
Gd 0.912 0.912 0.265
Li 0.500 0.500 0.500

E: -8.45 eV/atom
E above lowest polymorph: 0.6658 eV/atom
Formation energy (no corrections): 98 meV per atom
Mass density: 6.2 g/cm3
Spin magnetization: 15.1 μB/f.u.


# 3
This record from Alexandria via LeMat-Bulk describes SrCdSn after structural relaxation. The functional is PBE-GGA.

Unit cell a=6.588 b=5.031 c=6.395 alpha=66.82 beta=76.87 gamma=67.55
Positions (direct):
Sr 0.894 0.171 0.214
Sr 0.493 0.081 0.797
Sn 0.904 0.462 0.623
Sn 0.483 0.790 0.388
Cd 0.103 0.783 0.783
Cd 0.284 0.469 0.228

E: -2.70 eV/atom
Mass density: 5.9 g/cm3
Spin magnetization: 0.0 μB/f.u.


# 4
This record from Alexandria via LeMat-Bulk describes La2CdCoC after structural relaxation. The functional is PBE-GGA.

Unit cell a=5.467 b=5.467 c=3.689 alpha=90.00 beta=90.00 gamma=90.00
Positions (direct):
C 0.000 0.000 0.000
Cd 0.500 0.500 0.500
Co 0.000 0.000 0.500
La 0.000 0.500 0.000
La 0.500 0.000 0.000

E: -5.64 eV/atom
Mass density: 6.9 g/cm3
Spin magnetization: 0.0 μB/f.u.


- What is the E in the third record?
  -2.70 eV/atom